Compound: Ba3HoU2O9
Source: Alexandria via LeMat-Bulk
Functional: PBE
Structure: optimized geometry

Cell lengths 6.243, 6.243, 7.660 Å; angles 90.00, 90.00, 120.00 degrees
Atoms (fractional coordinates):
Ba 0.333 0.667 0.658
O 0.339 0.169 0.669
O 0.831 0.169 0.669
O 0.169 0.831 0.331
Ba 0.667 0.333 0.342
O 0.831 0.661 0.669
O 0.169 0.339 0.331
O 0.500 0.000 0.000
U 0.333 0.667 0.169
O 0.000 0.500 0.000
O 0.500 0.500 0.000
U 0.667 0.333 0.831
Ba 0.000 0.000 0.000
Ho 0.000 0.000 0.500
O 0.661 0.831 0.331

- SG: P-3m1 (164)
- Uncorrected energy: -8.342 eV/atom